The following is a PBE calculation of TbCdH6Rh2 after structural relaxation, from Alexandria.

```
TbCdH6Rh2
1.0
-4.701 -2.824 4.363
6.293 1.521 2.682
-1.457 4.174 1.259
Tb Cd H Rh
2 2 12 4
direct
0.648 0.352 0.250
0.352 0.648 0.750
0.109 0.891 0.250
0.891 0.109 0.750
0.957 0.350 0.061
0.650 0.043 0.439
0.043 0.650 0.939
0.350 0.957 0.561
0.337 0.337 0.987
0.663 0.663 0.513
0.663 0.663 0.013
0.337 0.337 0.487
0.186 0.550 0.305
0.450 0.814 0.195
0.814 0.450 0.695
0.550 0.186 0.805
0.304 0.130 0.743
0.870 0.696 0.757
0.696 0.870 0.257
0.130 0.304 0.243
```

Output
crystal system = monoclinic
electronic total energy = -0.31677 Ry per atom

The following is a PBE calculation of TlCd2HRh after structural relaxation, from Alexandria.

```
TlCd2HRh
1.0
-1.168 3.810 3.192
1.296 -2.932 3.974
3.158 1.132 -0.195
H Tl Rh Cd
1 1 1 2
direct
0.000 0.000 0.000
0.500 0.500 0.500
0.000 0.000 0.500
0.000 0.500 0.000
0.500 0.000 0.000
```

Output
crystal system = tetragonal
electronic total energy = -0.21197 Ry per atom

The following is a PBE calculation of TlCdH6Rh after structural relaxation, from Alexandria.

```
TlCdH6Rh
1.0
4.882 0.000 0.000
2.441 4.228 0.000
0.000 0.000 5.517
Tl Cd H Rh
1 1 6 1
direct
0.000 0.000 0.000
0.667 0.667 0.500
0.073 0.320 0.309
0.320 0.074 0.691
0.606 0.320 0.691
0.074 0.606 0.691
0.320 0.606 0.309
0.606 0.074 0.309
0.333 0.333 0.500
```

Output
crystal system = trigonal
electronic total energy = -0.25090 Ry per atom

The following is a PBE calculation of TlCdH8Rh2 after structural relaxation, from Alexandria.

```
TlCdH8Rh2
1.0
4.941 0.000 0.000
2.470 4.279 0.000
2.470 1.426 6.613
Tl Cd H Rh
1 1 8 2
direct
0.500 0.500 0.500
0.000 0.000 0.000
0.227 0.227 0.318
0.544 0.401 0.142
0.773 0.773 0.682
0.913 0.544 0.142
0.087 0.456 0.858
0.401 0.913 0.142
0.599 0.087 0.858
0.456 0.599 0.858
0.310 0.310 0.071
0.690 0.690 0.929
```

Output
crystal system = trigonal
electronic total energy = -0.26967 Ry per atom

The following is a PBE calculation of TlCdHRh2 after structural relaxation, from Alexandria.

```
TlCdHRh2
1.0
4.223 0.000 0.000
0.000 4.223 0.000
0.000 0.000 4.051
H Tl Rh Cd
1 1 2 1
direct
0.000 0.000 0.000
0.500 0.500 0.500
0.000 0.500 0.000
0.500 0.000 0.000
0.000 0.000 0.500
```

Output
crystal system = tetragonal
electronic total energy = -0.30852 Ry per atom

The following is a PBE calculation of VCd2HRh after structural relaxation, from Alexandria.

```
VCd2HRh
1.0
4.551 0.000 0.000
0.000 3.521 0.000
0.000 0.000 4.551
H V Rh Cd
1 1 1 2
direct
0.000 0.000 0.000
0.000 0.500 0.000
0.500 0.500 0.500
0.000 0.000 0.500
0.500 0.000 0.000
```

Output
crystal system = tetragonal
electronic total energy = -0.30484 Ry per atom

The following is a PBE calculation of YCdHRh2 after structural relaxation, from Alexandria.

```
YCdHRh2
1.0
-2.779 3.221 -0.908
-2.901 -2.907 -1.434
-1.521 -0.283 3.650
Y H Rh Cd
1 1 2 1
direct
0.500 0.500 0.500
0.000 0.000 0.000
0.000 0.500 0.000
0.500 0.000 0.000
0.000 0.000 0.500
```

Output
crystal system = tetragonal
excess energy over the best structure of this formula in the dataset = 71 meV per atom

The following is a PBE calculation of YCdH2Rh after structural relaxation, from Alexandria.

```
YCdH2Rh
1.0
3.960 0.000 0.000
0.000 5.066 0.000
0.000 0.000 3.960
Y H Rh Cd
1 2 1 1
direct
0.500 0.500 0.500
0.000 0.000 0.500
0.500 0.000 0.000
0.000 0.000 0.000
0.000 0.500 0.000
```

Output
crystal system = tetragonal
electronic total energy = -0.29909 Ry per atom